A plane-wave DFT calculation with GGA-PBE was carried out for crystalline MgSiSb2 at its relaxed geometry.

Properties
The space group is F-43m (216). For the total energy, the calculation gives -3.496 eV/atom. For the density, the calculation gives 5.186 g/cm³.

Unit cell a=5.1173 b=5.1173 c=5.1173 alpha=60.00 beta=60.00 gamma=60.00
Element x y z (fractional)
Sb: 0.2500 0.2500 0.2500
Si: 0.7500 0.7500 0.7500
Mg: 0.5000 0.5000 0.5000
Sb: 0.0000 0.0000 0.0000